Here is crystalline ZrP2Os at its relaxed geometry from Alexandria via LeMat-Bulk. Energies are from PBE.

For the excess energy over the best structure of this formula in the dataset, the calculation gives 1.61 eV/f.u. The calculation puts the total DFT energy (no corrections) at -63.080 eV/cell. The volume is 125.48 Å³ per cell. The value obtained for the formation energy from the elements is -0.2356 eV/atom.

The structure belongs to space group I-4m2 (No. 119); the cell edges are 3.567, 3.567 and 9.862 Å and the angles 90.00°, 90.00° and 90.00°. Symmetry generates all atoms from Zr at (0.000, 0.000, 0.000), P at (0.000, 0.000, 0.500), P at (0.000, 0.500, 0.250) and Os at (0.000, 0.500, 0.750).



Here is crystalline ZrTi2H6 at its relaxed geometry from Alexandria via LeMat-Bulk. Energies are from PBE.

The calculation puts the total DFT energy (no corrections) at -98.110 eV/cell. The volume is 140.37 Å³ per cell.

The structure belongs to space group C2/m (No. 12); the cell edges are 9.683, 4.668 and 3.196 Å and the angles 90.00°, 103.72° and 90.00°. Symmetry generates all atoms from Zr at (0.000, 0.000, 0.000), Ti at (0.171, 0.500, 0.663), H at (0.000, 0.273, 0.500) and H at (0.172, 0.264, 0.170).



Here is crystalline BeICl2F at its relaxed geometry from Alexandria via LeMat-Bulk. Energies are from PBE.

The calculation puts the total DFT energy (no corrections) at -15.064 eV/cell. The volume is 92.49 Å³ per cell. The uncorrected formation energy is -0.845 eV per atom.

The structure belongs to space group P4/mmm (No. 123); the cell edges are 5.352, 5.352 and 3.230 Å and the angles 90.00°, 90.00° and 90.00°. Symmetry generates all atoms from Be at (0.000, 0.000, 0.000), I at (0.500, 0.500, 0.500), Cl at (0.000, 0.500, 0.000) and F at (0.000, 0.000, 0.500).



Here is crystalline Li2Sm2YIn2 at its relaxed geometry from Alexandria via LeMat-Bulk. Energies are from PBE.

The calculation puts the total DFT energy (no corrections) at -80.743 eV/cell. The volume is 551.37 Å³ per cell. The value obtained for the formation energy from the elements is -0.2439 eV/atom.

The structure belongs to space group R-3m (No. 166, hexagonal axes); the cell edges are 4.8715, 4.8715 and 26.8280 Å and the angles 90.00°, 90.00° and 120.00°. Symmetry generates all atoms from Li at (0.0000, 0.0000, 0.1079), Sm at (0.0000, 0.0000, 0.3727), Y at (0.0000, 0.0000, 0.5000) and In at (0.0000, 0.0000, 0.2355).



Here is crystalline TlBiS at its relaxed geometry from Alexandria via LeMat-Bulk. Energies are from PBE.

For the excess energy over the best structure of this formula in the dataset, the calculation gives 0.00 eV/f.u. The calculation puts the total DFT energy (no corrections) at -10.519 eV/cell. The volume is 83.64 Å³ per cell. The uncorrected formation energy is -0.048 eV per atom.

The structure belongs to space group P3m1 (No. 156); the cell edges are 3.7034, 3.7034 and 7.0418 Å and the angles 90.00°, 90.00° and 120.00°. Symmetry generates all atoms from Tl at (0.0000, 0.0000, 0.0000), Bi at (0.3333, 0.6667, 0.5662) and S at (0.6667, 0.3333, 0.2976).



Here is crystalline Nd8Sm5Sn at its relaxed geometry from Alexandria via LeMat-Bulk. Energies are from PBE.

The calculation puts the total DFT energy (no corrections) at -128.450 eV/cell. The volume is 991.75 Å³ per cell. The value obtained for the formation energy from the elements is 0.1083 eV/atom.

The structure belongs to space group C2 (No. 5); the cell edges are 14.798, 9.043 and 10.461 Å and the angles 90.00°, 134.89° and 90.00°. Symmetry generates all atoms from Nd at (0.017, 0.000, 0.178), Nd at (0.160, 0.362, 0.411), Nd at (0.161, 0.635, 0.144), Nd at (0.249, 0.773, 0.908), Sm at (0.000, 0.067, 0.500), Sm at (0.069, 0.707, 0.422), Sm at (0.147, 0.427, 0.717) and Sn at (0.000, 0.318, 0.000).